Entry 1:
KTi3Mn2S8: optimized geometry, PBE.

Its space group is No. 160. The raw formation energy is -22.6 kcal/mol of atoms. As for the energy: -6.42 eV per atom. For the magnetic moment, the calculation gives 4.96 μB/cell.

Unit cell a=7.4293 b=7.4293 c=7.1101 alpha=58.50 beta=58.50 gamma=60.00
Closest atoms and distances in Å follow each position.
Atoms (fractional coordinates):
K  0.9406  0.9406  0.1783  3 S 2.72
Ti  0.5091  0.9830  0.9987  6 S 2.46-2.57
Ti  0.9830  0.5091  0.9987  6 S 2.46-2.57
Ti  0.5091  0.5091  0.9987  6 S 2.46-2.57
Mn  0.1274  0.1274  0.6178  4 S 2.28-2.39
Mn  0.4761  0.4761  0.5716  6 S 2.31-2.39
S  0.2615  0.2615  0.2154  1 Mn 2.28
S  0.7486  0.7486  0.7543  3 Ti 2.46
S  0.2453  0.2453  0.7797  2 Mn 2.39, 2 Ti 2.50
S  0.7297  0.2453  0.7797  2 Mn 2.39, 2 Ti 2.50
S  0.2453  0.7297  0.7797  2 Mn 2.39, 2 Ti 2.50
S  0.6992  0.3185  0.2831  1 Mn 2.31, 2 Ti 2.47
S  0.3185  0.6992  0.2831  1 Mn 2.31, 2 Ti 2.47
S  0.6992  0.6992  0.2831  1 Mn 2.31, 2 Ti 2.47

=====

Entry 2:
Ca2TaIr: optimized geometry, PBE.

Its space group is No. 123. Its energy of formation from the pure elements is 0.32 eV/atom. As for the energy: -5.86 eV per atom. For the magnetic moment, the calculation gives 0.00 μB/cell. For the distance to the lowest polymorph of the same formula, the calculation gives 410 meV per atom.

Unit cell a=5.1061 b=4.0258 c=4.0258 alpha=90.00 beta=90.00 gamma=90.00
Closest atoms and distances in Å follow each position.
Atoms (fractional coordinates):
Ca  0.0000  0.0000  0.0000  4 Ca 2.85
Ca  0.0000  0.5000  0.5000  4 Ca 2.85
Ir  0.5000  0.5000  0.0000  4 Ta 2.85
Ta  0.5000  0.0000  0.5000  4 Ir 2.85